# 1
A plane-wave DFT calculation with GGA+U was carried out for K3Zn2NiF9 after structural relaxation.

Summary:
* total magnetization: 2.00 μB/cell
* calculated volume: 208 Å³/cell
* energy: -4.22 eV per atom

a = 5.8067 Å, b = 5.8067 Å, c = 7.1130 Å
α = 90.00°, β = 90.00°, γ = 120.00°
Closest atoms and distances in Å follow each position.
Positions (direct):
F 0.1654 0.3309 0.3351  1 Ni 2.04, 1 Zn 2.06
F 0.0000 0.5000 0.0000  2 Zn 2.06
F 0.3309 0.1654 0.6649  1 Ni 2.04, 1 Zn 2.06
F 0.5000 0.5000 0.0000  2 Zn 2.06
F 0.1654 0.8346 0.3351  1 Ni 2.04, 1 Zn 2.06
F 0.5000 0.0000 0.0000  2 Zn 2.06
F 0.6691 0.8346 0.3351  1 Ni 2.04, 1 Zn 2.06
F 0.8346 0.6691 0.6649  1 Ni 2.04, 1 Zn 2.06
F 0.8346 0.1654 0.6649  1 Ni 2.04, 1 Zn 2.06
Ni 0.0000 0.0000 0.5000  6 F 2.04
K 0.3333 0.6667 0.6662  12 F 2.90-2.91
K 0.6667 0.3333 0.3338  12 F 2.90-2.91
K 0.0000 0.0000 0.0000  12 F 2.90-2.91
Zn 0.6667 0.3333 0.8316  6 F 2.06
Zn 0.3333 0.6667 0.1684  6 F 2.06

---

# 2
A plane-wave DFT calculation with GGA+U was carried out for K2ZnNi3F12 after structural relaxation.

Summary:
* total magnetization: 4.00 μB/cell
* calculated volume: 264 Å³/cell
* energy: -4.03 eV per atom

a = 7.1884 Å, b = 7.1884 Å, c = 7.1884 Å
α = 60.25°, β = 60.25°, γ = 60.25°
Closest atoms and distances in Å follow each position.
Positions (direct):
F 0.3353 0.9206 0.9206  1 Ni 1.93, 1 Zn 2.01
F 0.0794 0.6647 0.0794  1 Ni 1.93, 1 Zn 2.01
F 0.9206 0.3353 0.9206  1 Ni 1.93, 1 Zn 2.01
F 0.6647 0.0794 0.0794  1 Ni 1.93, 1 Zn 2.01
F 0.0772 0.6806 0.6806  2 Ni 1.94
F 0.6806 0.0772 0.6806  2 Ni 1.94
F 0.6806 0.6806 0.0772  2 Ni 1.94
F 0.9206 0.9206 0.3353  1 Ni 1.93, 1 Zn 2.01
F 0.9228 0.3194 0.3194  2 Ni 1.94
F 0.3194 0.9228 0.3194  2 Ni 1.94
F 0.0794 0.0794 0.6647  1 Ni 1.93, 1 Zn 2.01
F 0.3194 0.3194 0.9228  2 Ni 1.94
K 0.3754 0.3754 0.3754  6 F 3.01-3.11
K 0.6246 0.6246 0.6246  6 F 3.01-3.11
Ni 0.5000 0.0000 0.0000  6 F 1.93-1.94
Ni 0.0000 0.5000 0.0000  6 F 1.93-1.94
Ni 0.0000 0.0000 0.5000  6 F 1.93-1.94
Zn 0.0000 0.0000 0.0000  6 F 2.01

---

# 3
A plane-wave DFT calculation with GGA+U was carried out for KZnNiF6 after structural relaxation.

Summary:
* total magnetization: 2.00 μB/cell
* calculated volume: 267 Å³/cell
* energy: -3.98 eV per atom

a = 7.1096 Å, b = 7.5253 Å, c = 7.1853 Å
α = 121.58°, β = 119.65°, γ = 90.00°
Closest atoms and distances in Å follow each position.
Positions (direct):
F 0.1890 0.9178 0.7518  1 Ni 1.84, 1 Zn 2.06
F 0.5627 0.9178 0.7518  1 Ni 1.84, 1 Zn 2.06
F 0.4303 0.6803 0.8607  2 Ni 2.01
F 0.8408 0.0908 0.6815  2 Zn 1.99
F 0.4373 0.0822 0.2482  1 Ni 1.84, 1 Zn 2.06
F 0.5627 0.3339 0.7518  1 Ni 1.84, 1 Zn 2.06
F 0.4373 0.6661 0.2482  1 Ni 1.84, 1 Zn 2.06
F 0.8110 0.0822 0.2482  1 Ni 1.84, 1 Zn 2.06
F 0.1592 0.9092 0.3185  2 Zn 1.99
F 0.5697 0.3197 0.1393  2 Ni 2.01
F 0.8110 0.6661 0.2482  1 Ni 1.84, 1 Zn 2.06
F 0.1890 0.3339 0.7518  1 Ni 1.84, 1 Zn 2.06
Ni 0.5000 0.0000 0.0000  6 F 1.84-2.01
Ni 0.5000 0.5000 0.0000  6 F 1.84-2.01
K 0.8697 0.6197 0.7394  6 F 2.89-3.13
K 0.1303 0.3803 0.2606  6 F 2.89-3.13
Zn 0.0000 0.0000 0.5000  6 F 1.99-2.06
Zn 0.5000 0.0000 0.5000  6 F 1.99-2.06